VASP calculation (PBE) on Pr4NiCI2 after structural relaxation.

Cell lengths 3.9533, 7.2850, 8.2211 Å; angles 106.42, 90.00, 90.00 degrees
With the nearest neighbours (Å) after each atom.
Fractional coordinates of all 8 atoms:
Pr 0.5000 0.7654 0.8215  1 C 2.74, 2 Ni 2.75
C 0.5000 0.5000 0.0000  6 Pr 2.65-2.74
I 0.0000 0.5000 0.5000  6 Pr 3.36-3.43
Pr 0.5000 0.2346 0.1785  1 C 2.74, 2 Ni 2.75
Pr 0.0000 0.7007 0.1792  2 C 2.65, 1 Ni 2.96
Pr 0.0000 0.2993 0.8208  2 C 2.65, 1 Ni 2.96
Ni 0.0000 0.0000 0.0000  6 Pr 2.75-2.96
I 0.5000 0.0000 0.5000  6 Pr 3.52-3.53

Results
**SG**: No. 10


VASP calculation (PBE) on Pr6Ni2CI3 after structural relaxation.

Cell lengths 7.1056, 7.1056, 8.2982 Å; angles 98.12, 98.12, 120.03 degrees
With the nearest neighbours (Å) after each atom.
Fractional coordinates of all 12 atoms:
I 0.8313 0.1687 0.5000  6 Pr 3.43-3.57
Pr 0.0610 0.3729 0.1799  1 C 2.64, 2 Ni 2.83-2.84
I 0.5000 0.5000 0.5000  6 Pr 3.43-3.57
I 0.1687 0.8313 0.5000  6 Pr 3.43-3.57
Pr 0.9390 0.6271 0.8201  1 C 2.64, 2 Ni 2.83-2.84
C 0.0000 0.0000 0.0000  6 Pr 2.64
Pr 0.7492 0.7492 0.1825  1 C 2.64, 2 Ni 2.85
Ni 0.6663 0.3337 0.0000  6 Pr 2.83-2.85
Ni 0.3337 0.6663 0.0000  6 Pr 2.83-2.85
Pr 0.3729 0.0610 0.1799  1 C 2.64, 2 Ni 2.83-2.84
Pr 0.2508 0.2508 0.8175  1 C 2.64, 2 Ni 2.85
Pr 0.6271 0.9390 0.8201  1 C 2.64, 2 Ni 2.83-2.84

Results
**SG**: No. 12


VASP calculation (PBE) on NiCS2I after structural relaxation.

Cell lengths 3.8140, 7.8808, 3.8140 Å; angles 90.00, 90.00, 90.00 degrees
With the nearest neighbours (Å) after each atom.
Fractional coordinates of all 5 atoms:
S 0.5000 0.0000 0.0000  2 C 1.91
Ni 0.5000 0.5000 0.5000  4 I 2.70
C 0.0000 0.0000 0.0000  4 S 1.91
S 0.0000 0.0000 0.5000  2 C 1.91
I 0.0000 0.5000 0.0000  4 Ni 2.70

Results
**SG**: No. 123


VASP calculation (PBE) on NiSb2CI after structural relaxation.

Cell lengths 4.9236, 4.9236, 5.2972 Å; angles 90.00, 90.00, 90.00 degrees
With the nearest neighbours (Å) after each atom.
Fractional coordinates of all 5 atoms:
Ni 0.0000 0.0000 0.0000  4 Sb 2.46, 2 I 2.65
C 0.5000 0.5000 0.5000  4 I 3.48, 8 Sb 3.62
Sb 0.0000 0.5000 0.0000  2 Ni 2.46
I 0.0000 0.0000 0.5000  2 Ni 2.65
Sb 0.5000 0.0000 0.0000  2 Ni 2.46

Results
**SG**: No. 123


Fermi-level density of states list, top to bottom, in states/eV/f.u.: 6.57 7.29 6.11 4.91
Uncorrected formation energy list, top to bottom, in eV per atom: -0.604 -0.622 1.225 1.598